[1]
Crystalline Cr2BO at its relaxed geometry. Source: Alexandria, functional PBEsol.

Calculated values
- Final energy: -8.4524 eV/atom
- N(E_F): 0.4991 states/eV/atom
- Mass density: 4.93 g/cm³

Cell: 4.4284 4.4284 8.9952 Å, 90.00 90.00 90.00°
Space group I-42d (No. 122)
One atom of each set of equivalent atoms:
Cr  0.2315  0.2500  0.1250 (multiplicity 8)
B  0.0000  0.0000  0.5000 (multiplicity 4)
O  0.0000  0.0000  0.0000 (multiplicity 4)

=====

[2]
Crystalline SrLiRu3 at its relaxed geometry. Source: Alexandria, functional PBEsol.

Calculated values
- Final energy: -5.6233 eV/atom
- N(E_F): 1.3375 states/eV/atom
- Mass density: 8.10 g/cm³

Cell: 4.3367 4.3367 4.3367 Å, 90.00 90.00 90.00°
Space group Pm-3m (No. 221)
One atom of each set of equivalent atoms:
Sr  0.0000  0.0000  0.0000 (multiplicity 1)
Li  0.5000  0.5000  0.5000 (multiplicity 1)
Ru  0.0000  0.5000  0.5000 (multiplicity 3)